The following is a SCAN calculation of a PBEsol-optimized structure of Ni3RuCl, from the Alexandria database.

CIF file:
```
data_Ni3RuCl
_chemical_formula_sum 'Ni3 Ru1 Cl1'
_symmetry_space_group_name_H-M 'P m -3 m'
_symmetry_Int_Tables_number 221
_symmetry_space_group_name_Hall '-P 4 2 3'
_cell_length_a 4.0361
_cell_length_b 4.0361
_cell_length_c 4.0361
_cell_angle_alpha 90.00
_cell_angle_beta 90.00
_cell_angle_gamma 90.00
loop_
_atom_site_label
_atom_site_type_symbol
_atom_site_fract_x
_atom_site_fract_y
_atom_site_fract_z
Ni1 Ni 0.0000 0.0000 0.5000
Ru1 Ru 0.5000 0.5000 0.5000
Cl1 Cl 0.0000 0.0000 0.0000
```

## Properties
Its formation energy from raw total energies is 0.8912 eV per atom. For the mass density, the calculation gives 7.90 Mg/m³. The calculation puts the total energy at -17.374 eV/atom.